(1)
Material: MgSi2O5
Method: DFT, PBEsol
State: optimized geometry

Calculated values
Its space group is No. 55. Its density of states at the Fermi level is 0.00 states/eV/atom. The formation energy without anion corrections comes out at -2744 meV per atom.

POSCAR file:
```
MgSi2O5
1.0
6.918 0.000 0.000
0.000 7.655 0.000
0.000 0.000 5.327
Mg Si O
4 8 20
Direct
0.150 0.158 0.000
0.350 0.658 0.000
0.650 0.342 0.000
0.850 0.842 0.000
0.000 0.500 0.245
0.000 0.500 0.755
0.114 0.853 0.500
0.386 0.353 0.500
0.500 0.000 0.245
0.500 0.000 0.755
0.614 0.647 0.500
0.886 0.147 0.500
0.000 0.000 0.287
0.000 0.000 0.713
0.118 0.703 0.261
0.118 0.703 0.739
0.153 0.422 0.500
0.154 0.433 0.000
0.346 0.933 0.000
0.347 0.922 0.500
0.382 0.203 0.261
0.382 0.203 0.739
0.500 0.500 0.287
0.500 0.500 0.713
0.618 0.797 0.261
0.618 0.797 0.739
0.653 0.078 0.500
0.654 0.067 0.000
0.846 0.567 0.000
0.847 0.578 0.500
0.882 0.297 0.261
0.882 0.297 0.739
```

***

(2)
Material: Mg2SiO4
Method: DFT, PBEsol
State: optimized geometry

Calculated values
Its space group is No. 62. Its density of states at the Fermi level is 0.00 states/eV/atom. The formation energy without anion corrections comes out at -2854 meV per atom.

POSCAR file:
```
Mg2SiO4
1.0
10.208 0.000 0.000
0.000 5.991 0.000
0.000 0.000 4.769
Mg Si O
8 4 16
Direct
0.000 0.000 0.000
0.000 0.500 0.000
0.223 0.250 0.491
0.277 0.750 0.991
0.500 0.000 0.500
0.500 0.500 0.500
0.723 0.250 0.009
0.777 0.750 0.509
0.094 0.750 0.427
0.406 0.250 0.927
0.594 0.750 0.073
0.906 0.250 0.573
0.054 0.250 0.722
0.092 0.750 0.768
0.163 0.532 0.276
0.163 0.968 0.276
0.337 0.032 0.776
0.337 0.468 0.776
0.408 0.250 0.268
0.446 0.750 0.222
0.554 0.250 0.778
0.592 0.750 0.732
0.663 0.532 0.224
0.663 0.968 0.224
0.837 0.032 0.724
0.837 0.468 0.724
0.908 0.250 0.232
0.946 0.750 0.278
```

***

(3)
Material: Mg2SiO4
Method: DFT, PBEsol
State: optimized geometry

Calculated values
Its space group is No. 164. Its density of states at the Fermi level is 0.00 states/eV/atom. The formation energy without anion corrections comes out at -2793 meV per atom.

POSCAR file:
```
Mg2SiO4
1.0
5.949 0.000 0.000
-2.974 5.152 0.000
0.000 0.000 4.798
Mg Si O
4 2 8
Direct
0.000 0.000 0.000
0.000 0.500 0.500
0.500 0.000 0.500
0.500 0.500 0.500
0.333 0.667 0.928
0.667 0.333 0.072
0.188 0.375 0.777
0.188 0.812 0.777
0.333 0.667 0.267
0.375 0.188 0.223
0.625 0.812 0.777
0.667 0.333 0.733
0.812 0.188 0.223
0.812 0.625 0.223
```

***

(4)
Material: Mg2SiO4
Method: DFT, PBEsol
State: optimized geometry

Calculated values
Its space group is No. 74. Its density of states at the Fermi level is 0.00 states/eV/atom. The formation energy without anion corrections comes out at -2818 meV per atom.

POSCAR file:
```
Mg2SiO4
1.0
-2.858 5.738 4.137
2.858 -5.738 4.137
2.858 5.738 -4.137
Mg Si O
8 4 16
Direct
0.000 0.000 0.000
0.123 0.000 0.623
0.123 0.500 0.123
0.279 0.029 0.250
0.500 0.000 0.500
0.721 0.971 0.750
0.877 0.000 0.377
0.877 0.500 0.877
0.236 0.617 0.620
0.497 0.617 0.880
0.503 0.383 0.120
0.764 0.383 0.380
0.033 0.783 0.250
0.129 0.267 0.383
0.129 0.746 0.862
0.255 0.745 0.510
0.264 0.255 0.010
0.384 0.267 0.638
0.384 0.746 0.117
0.467 0.717 0.750
0.533 0.283 0.250
0.616 0.254 0.883
0.616 0.733 0.362
0.736 0.745 0.990
0.745 0.255 0.490
0.871 0.254 0.138
0.871 0.733 0.617
0.967 0.217 0.750
```

***

(5)
Material: Mg2SiO4
Method: DFT, PBEsol
State: optimized geometry

Calculated values
Its space group is No. 122. Its density of states at the Fermi level is 0.00 states/eV/atom. The formation energy without anion corrections comes out at -2798 meV per atom.

POSCAR file:
```
Mg2SiO4
1.0
-3.478 3.478 3.186
3.478 -3.478 3.186
3.478 3.478 -3.186
Mg Si O
4 2 8
Direct
0.071 0.625 0.946
0.375 0.321 0.446
0.679 0.125 0.054
0.875 0.929 0.554
0.250 0.750 0.500
0.500 0.500 0.000
0.094 0.416 0.273
0.143 0.821 0.727
0.166 0.344 0.773
0.179 0.906 0.322
0.571 0.393 0.227
0.584 0.857 0.678
0.607 0.834 0.178
0.656 0.429 0.822
```

***

(6)
Material: MgVSi2O6
Method: DFT, PBEsol
State: optimized geometry

Calculated values
Its space group is No. 15. Its density of states at the Fermi level is 0.27 states/eV/atom. The formation energy without anion corrections comes out at -2542 meV per atom.

POSCAR file:
```
MgVSi2O6
1.0
5.038 -4.433 0.000
5.038 4.433 0.000
-2.045 0.000 4.951
Mg V Si O
2 2 4 12
Direct
0.238 0.762 0.750
0.762 0.238 0.250
0.406 0.594 0.250
0.594 0.406 0.750
0.118 0.295 0.700
0.295 0.118 0.200
0.705 0.882 0.800
0.882 0.705 0.300
0.119 0.184 0.377
0.124 0.637 0.345
0.184 0.119 0.877
0.287 0.476 0.830
0.363 0.876 0.155
0.476 0.287 0.330
0.524 0.713 0.670
0.637 0.124 0.845
0.713 0.524 0.170
0.816 0.881 0.123
0.876 0.363 0.655
0.881 0.816 0.623
```

***

(7)
Material: MgSnO3
Method: DFT, PBEsol
State: optimized geometry

Calculated values
Its space group is No. 148. Its density of states at the Fermi level is 0.00 states/eV/atom. The formation energy without anion corrections comes out at -2123 meV per atom.

POSCAR file:
```
MgSnO3
1.0
2.641 1.525 4.706
-2.641 1.525 4.706
0.000 -3.050 4.706
Mg Sn O
2 2 6
Direct
0.143 0.143 0.143
0.857 0.857 0.857
0.353 0.353 0.353
0.647 0.647 0.647
0.051 0.452 0.744
0.256 0.949 0.548
0.452 0.744 0.051
0.548 0.256 0.949
0.744 0.051 0.452
0.949 0.548 0.256
```

***

(8)
Material: MgSnO2
Method: DFT, PBEsol
State: optimized geometry

Calculated values
Its space group is No. 166. Its density of states at the Fermi level is 0.01 states/eV/atom. The formation energy without anion corrections comes out at -1758 meV per atom.

POSCAR file:
```
MgSnO2
1.0
1.564 0.903 6.149
-1.564 0.903 6.149
0.000 -1.806 6.149
Mg Sn O
1 1 2
Direct
0.000 0.000 0.000
0.500 0.500 0.500
0.391 0.391 0.391
0.609 0.609 0.609
```

***

What is the formation energy without anion corrections in the fourth record?
-2818 meV per atom

***

Look up the formation energy without anion corrections of the fourth one.
-2818 meV per atom

***

The highest formation energy without anion corrections belongs to which entry?
MgSnO2

***

Among the records above, which one has the lowest formation energy without anion corrections?
number 2